1.
CeS2O8 | PBE-GGA | relaxed

**Calculated volume**: 157.9 Å³ per cell
**E_form (uncorrected)**: -1.82 eV per atom
**Raw total energy**: -73.88 eV for the cell shown
**Calculated density**: 3.5 g/cm3

Lattice parameters (Å, degrees): 5.410 5.903 5.903 60.65 76.21 76.21
Atoms (fractional coordinates):
O: 0.780 0.670 0.064
O: 0.606 0.153 0.153
S: 0.316 0.199 0.199
S: 0.684 0.801 0.801
Ce: 0.000 0.000 0.000
O: 0.394 0.847 0.847
O: 0.774 0.654 0.654
O: 0.220 0.936 0.330
O: 0.226 0.346 0.346
O: 0.780 0.064 0.670
O: 0.220 0.330 0.936


2.
La3PuP4 | PBE-GGA | relaxed

**Calculated volume**: 210.6 Å³ per cell
**Energy of formation**: -1433 meV per atom
**Raw total energy**: -62.22 eV for the cell shown
**DOS at the Fermi energy**: 14.0 states/eV/f.u.
**Calculated density**: 6.2 g/cm3

Lattice parameters (Å, degrees): 4.211 7.283 7.283 109.48 90.00 90.00
Atoms (fractional coordinates):
P: 0.500 0.756 0.244
P: 0.000 0.237 0.237
P: 0.500 0.244 0.756
P: 0.000 0.763 0.763
Pu: 0.500 0.000 0.000
La: 0.000 0.500 0.000
La: 0.500 0.500 0.500
La: 0.000 0.000 0.500


3.
AcZrCd2 | PBE-GGA | relaxed

**Calculated volume**: 108.9 Å³ per cell
**Energy of formation**: -93 meV per atom
**Raw total energy**: -14.86 eV for the cell shown
**DOS at the Fermi energy**: 3.8 states/eV/f.u.
**Calculated density**: 8.3 g/cm3

Lattice parameters (Å, degrees): 3.721 3.721 7.861 90.00 90.00 90.00
Atoms (fractional coordinates):
Cd: 0.000 0.000 0.798
Ac: 0.500 0.500 0.500
Cd: 0.000 0.000 0.202
Zr: 0.500 0.500 0.000


4.
MgMnIr | PBE-GGA | relaxed

**Calculated volume**: 47.3 Å³ per cell
**Energy of formation**: 327 meV per atom
**Raw total energy**: -18.64 eV for the cell shown
**DOS at the Fermi energy**: 3.0 states/eV/f.u.
**Calculated density**: 9.5 g/cm3

Lattice parameters (Å, degrees): 4.059 4.059 4.059 60.00 60.00 60.00
Atoms (fractional coordinates):
Mg: 0.750 0.750 0.750
Mn: 0.000 0.000 0.000
Ir: 0.250 0.250 0.250


5.
Ac2Ga4CuIr3 | PBE-GGA | relaxed

**Calculated volume**: 200.9 Å³ per cell
**Energy of formation**: -604 meV per atom
**Raw total energy**: -57.04 eV for the cell shown
**DOS at the Fermi energy**: 6.7 states/eV/f.u.
**Calculated density**: 11.4 g/cm3

Lattice parameters (Å, degrees): 4.381 4.381 10.467 90.00 90.00 90.00
Atoms (fractional coordinates):
Ir: 0.500 0.000 0.869
Ga: 0.000 0.500 0.379
Ir: 0.000 0.000 0.500
Ga: 0.500 0.500 0.000
Ga: 0.000 0.000 0.000
Cu: 0.500 0.500 0.500
Ir: 0.000 0.500 0.131
Ga: 0.500 0.000 0.621
Ac: 0.500 0.000 0.252
Ac: 0.000 0.500 0.748


6.
HfCuSn2Te5 | PBE-GGA | relaxed

**Calculated volume**: 556.0 Å³ per cell
**E_form (uncorrected)**: -0.38 eV per atom
**Raw total energy**: -82.32 eV for the cell shown
**DOS at the Fermi energy**: 2.4 states/eV/f.u.
**Calculated density**: 6.7 g/cm3

Lattice parameters (Å, degrees): 4.096 9.785 14.187 90.00 90.00 102.08
Atoms (fractional coordinates):
Te: 0.525 0.050 0.794
Sn: 0.913 0.826 0.776
Hf: 0.202 0.404 0.027
Hf: 0.798 0.596 0.527
Sn: 0.878 0.757 0.146
Cu: 0.586 0.172 0.961
Te: 0.646 0.292 0.499
Sn: 0.087 0.174 0.276
Te: 0.948 0.897 0.563
Te: 0.293 0.585 0.385
Sn: 0.122 0.243 0.646
Te: 0.354 0.708 0.999
Te: 0.721 0.441 0.174
Te: 0.707 0.415 0.885
Cu: 0.414 0.828 0.461
Te: 0.279 0.559 0.674
Te: 0.475 0.950 0.294
Te: 0.052 0.103 0.063


Q: What is the formula in the fourth record?
A: MgMnIr


Repeat the sixth record exactly.
HfCuSn2Te5 | PBE-GGA | relaxed

**Calculated volume**: 556.0 Å³ per cell
**E_form (uncorrected)**: -0.38 eV per atom
**Raw total energy**: -82.32 eV for the cell shown
**DOS at the Fermi energy**: 2.4 states/eV/f.u.
**Calculated density**: 6.7 g/cm3

Lattice parameters (Å, degrees): 4.096 9.785 14.187 90.00 90.00 102.08
Atoms (fractional coordinates):
Te: 0.525 0.050 0.794
Sn: 0.913 0.826 0.776
Hf: 0.202 0.404 0.027
Hf: 0.798 0.596 0.527
Sn: 0.878 0.757 0.146
Cu: 0.586 0.172 0.961
Te: 0.646 0.292 0.499
Sn: 0.087 0.174 0.276
Te: 0.948 0.897 0.563
Te: 0.293 0.585 0.385
Sn: 0.122 0.243 0.646
Te: 0.354 0.708 0.999
Te: 0.721 0.441 0.174
Te: 0.707 0.415 0.885
Cu: 0.414 0.828 0.461
Te: 0.279 0.559 0.674
Te: 0.475 0.950 0.294
Te: 0.052 0.103 0.063


Q: calculated density of number 2 (La3PuP4)?
A: 6.2 g/cm3